A plane-wave DFT calculation with PBE-GGA was carried out for a relaxed structure of Ba5Be.

Properties
The calculation puts the energy of formation from the pure elements at 7.56 kcal/mol of atoms. The value obtained for the volume is 306 Å³ per cell. As for the space-group type: Cmmm. For the energy relative to the lowest polymorph listed for this composition, the calculation gives 111 meV per atom. Its total energy is -11.37 eV for the cell shown.

Geometry as POSCAR:
```
Ba5Be
1.0
5.461 7.319 4.662
-7.694 -6.750 -0.608
3.811 -4.591 2.743
Ba Be
5 1
direct
0.628 0.372 0.500
0.170 0.830 0.000
0.830 0.170 0.000
0.372 0.628 0.500
0.500 0.500 0.000
0.000 0.000 0.500
```